# SrFeW2 | Alexandria via LeMat-Bulk | SCAN | single point on PBEsol structure
data_SrFeW2
_chemical_formula_sum 'Sr1 Fe1 W2'
_cell_length_a 3.789
_cell_length_b 3.789
_cell_length_c 5.004
_cell_angle_alpha 90.00
_cell_angle_beta 90.00
_cell_angle_gamma 90.00
_symmetry_space_group_name_H-M 'P 4/m m m'
_symmetry_Int_Tables_number 123
_symmetry_space_group_name_Hall '-P 4 2'
loop_
_atom_site_label
_atom_site_fract_x
_atom_site_fract_y
_atom_site_fract_z
_atom_site_occupancy
Sr1 0.000 0.000 0.000 1
Fe1 0.500 0.500 0.000 1
W1 0.000 0.500 0.500 1
# E_tot: -174.1 eV per cell
# size of the total moment: 2.6 μB/f.u.
# excess energy over the best structure of this formula in the dataset: 176.5 meV per atom